An optimized crystal structure of Dy2Ho2Ru3, computed with PBE.

Lattice parameters (Å, degrees): 3.356 7.617 7.581 113.10 63.75 90.03
Sites, in units of the cell vectors:
1 Dy 0.874 0.746 0.626
2 Dy 0.126 0.254 0.374
3 Ho 0.614 0.257 0.885
4 Ho 0.386 0.743 0.115
5 Ru 0.000 0.000 0.000
6 Ru 0.752 0.495 0.248
7 Ru 0.248 0.505 0.752

symmetry: P2/m
spin magnetization: 0.00 Bohr magnetons per cell
relative energy among the computed polymorphs: 0.0 kJ/mol of atoms
E: -6.934 eV per atom
DFT formation energy: -0.336 eV/atom